(1)
The following is a DFT calculation (PBE-GGA) of a relaxed LuScTlCd crystal.

a b c (Å): 5.1396 5.1396 5.1396
angles (deg): 60.00 60.00 60.00
With the nearest neighbours (Å) after each atom.
Sites, in units of the cell vectors:
1 Lu 0.0000 0.0000 0.0000  4 Tl 3.15, 4 Cd 3.15
2 Sc 0.5000 0.5000 0.5000  4 Tl 3.15, 4 Cd 3.15
3 Tl 0.7500 0.7500 0.7500  4 Sc 3.15, 4 Lu 3.15
4 Cd 0.2500 0.2500 0.2500  4 Sc 3.15, 4 Lu 3.15

Properties
DOS at the Fermi energy ... 4.42 states/eV/f.u.
E_tot ... -3.8094 eV per atom
Energy of formation ... -106 kJ/mol of formula units

---

(2)
The following is a DFT calculation (PBE-GGA) of a relaxed Tb2SnRu2 crystal.

a b c (Å): 5.7764 5.7764 8.1024
angles (deg): 104.01 104.01 57.40
With the nearest neighbours (Å) after each atom.
Sites, in units of the cell vectors:
1 Tb 0.0112 0.6987 0.8536  6 Ru 2.98-3.27, 2 Sn 3.28-3.34
2 Tb 0.3013 0.9888 0.6464  6 Ru 2.98-3.27, 2 Sn 3.28-3.34
3 Tb 0.6987 0.0112 0.3536  6 Ru 2.98-3.27, 2 Sn 3.28-3.34
4 Tb 0.9888 0.3013 0.1464  6 Ru 2.98-3.27, 2 Sn 3.28-3.34
5 Sn 0.3598 0.6402 0.2500  4 Ru 2.73-2.76
6 Sn 0.6402 0.3598 0.7500  4 Ru 2.73-2.76
7 Ru 0.1994 0.5119 0.4887  1 Ru 2.43
8 Ru 0.4881 0.8006 0.0113  1 Ru 2.43
9 Ru 0.5119 0.1994 0.9887  1 Ru 2.43
10 Ru 0.8006 0.4881 0.5113  1 Ru 2.43

Properties
DOS at the Fermi energy ... 2.62 states/eV/f.u.
E_tot ... -6.8592 eV per atom
Energy of formation ... -239 kJ/mol of formula units

---

(3)
The following is a DFT calculation (PBE-GGA) of a relaxed NpScNi10 crystal.

a b c (Å): 3.9630 4.7958 8.3159
angles (deg): 90.00 90.00 90.00
With the nearest neighbours (Å) after each atom.
Sites, in units of the cell vectors:
1 Np 0.0000 0.0000 0.0000  10 Ni 2.79-3.11
2 Sc 0.0000 0.5000 0.5000  6 Ni 2.74-2.76
3 Ni 0.0000 0.0000 0.3354  6 Ni 2.41-2.42
4 Ni 0.0000 0.0000 0.6646  6 Ni 2.41-2.42
5 Ni 0.0000 0.5000 0.1706  6 Ni 2.41-2.44
6 Ni 0.0000 0.5000 0.8294  6 Ni 2.41-2.44
7 Ni 0.5000 0.0000 0.5000  8 Ni 2.39-2.41
8 Ni 0.5000 0.2497 0.2517  8 Ni 2.39-2.42
9 Ni 0.5000 0.2497 0.7483  8 Ni 2.39-2.42
10 Ni 0.5000 0.5000 0.0000  8 Ni 2.41-2.44
11 Ni 0.5000 0.7503 0.2517  8 Ni 2.39-2.42
12 Ni 0.5000 0.7503 0.7483  8 Ni 2.39-2.42

Properties
DOS at the Fermi energy ... 19.23 states/eV/f.u.
E_tot ... -6.6290 eV per atom
Energy of formation ... -238 kJ/mol of formula units

---

Look up the energy of formation of the second one.
-239 kJ/mol of formula units

---

What is the formula in the third record?
NpScNi10